{"formula": "Co3Ag2P4O14", "functional": "PBE with a Hubbard U", "state": "relaxed", "vol_a3_per_atom": 11.89, "total_energy_ev_per_fu": -150.56, "magnetic_moment_mub_per_fu": 9.08, "cell": [[5.378, 0.000, 0.000], [1.898, 6.175, 0.000], [2.676, 1.892, 16.474]], "species": ["Co", "Co", "Co", "Co", "Co", "Co", "Ag", "Ag", "Ag", "Ag", "P", "P", "P", "P", "P", "P", "P", "P", "O", "O", "O", "O", "O", "O", "O", "O", "O", "O", "O", "O", "O", "O", "O", "O", "O", "O", "O", "O", "O", "O", "O", "O", "O", "O", "O", "O"], "frac_coords": [[0.034, 0.141, 0.297], [0.207, 0.782, 0.089], [0.231, 0.456, 0.844], [0.769, 0.544, 0.156], [0.793, 0.218, 0.911], [0.966, 0.859, 0.703], [0.107, 0.771, 0.478], [0.393, 0.238, 0.626], [0.607, 0.762, 0.374], [0.893, 0.229, 0.522], [0.181, 0.606, 0.277], [0.298, 0.281, 0.042], [0.361, 0.922, 0.827], [0.426, 0.264, 0.409], [0.574, 0.736, 0.591], [0.639, 0.078, 0.173], [0.702, 0.719, 0.958], [0.819, 0.394, 0.723], [0.014, 0.523, 0.728], [0.040, 0.812, 0.320], [0.123, 0.487, 0.081], [0.166, 0.100, 0.053], [0.173, 0.147, 0.845], [0.213, 0.782, 0.798], [0.276, 0.108, 0.391], [0.276, 0.834, 0.597], [0.301, 0.367, 0.488], [0.354, 0.643, 0.198], [0.392, 0.058, 0.226], [0.396, 0.464, 0.336], [0.409, 0.340, 0.954], [0.435, 0.797, 0.915], [0.565, 0.203, 0.085], [0.591, 0.660, 0.046], [0.604, 0.536, 0.664], [0.608, 0.942, 0.774], [0.646, 0.357, 0.802], [0.699, 0.633, 0.512], [0.724, 0.166, 0.403], [0.724, 0.892, 0.609], [0.787, 0.218, 0.202], [0.827, 0.853, 0.155], [0.834, 0.900, 0.947], [0.877, 0.513, 0.919], [0.960, 0.188, 0.680], [0.986, 0.477, 0.272]]}